The following is a DFT calculation (PBEsol) of K2HN after structural relaxation.

Summary:
SG: Fm-3m
ρ: 2.049 g cm⁻³
density of states at the Fermi level: 1.190 states/eV/atom
uncorrected energy: -0.105 Ha/atom

a = 4.7451 Å, b = 4.7451 Å, c = 4.7451 Å
α = 60.00°, β = 60.00°, γ = 60.00°
Last column: nearest neighbours and their distance in Å.
Fractional coordinates of all 4 atoms:
H 0.0000 0.0000 0.0000  8 K 2.91
K 0.7500 0.7500 0.7500  4 H 2.91, 4 N 2.91
N 0.5000 0.5000 0.5000  8 K 2.91
K 0.2500 0.2500 0.2500  4 H 2.91, 4 N 2.91